Record 1
A plane-wave DFT calculation with PBE was carried out for a relaxed structure of RbSiB. Values from VASP.

The structure in Quantum ESPRESSO input format:
```
&SYSTEM
  ibrav = 0, nat = 3, ntyp = 3
/
ATOMIC_SPECIES
Rb 85.47 Rb.upf
Si 28.09 Si.upf
B 10.81 B.upf
CELL_PARAMETERS angstrom
3.548 0.000 0.000
-1.774 3.072 0.000
0.000 0.000 5.682
ATOMIC_POSITIONS crystal
Rb 0.000 0.000 0.000
Si 0.667 0.333 0.500
B 0.333 0.667 0.500
```

Properties
Total magnetization = 0.00 μB/cell
Raw total energy = -4.1833 eV/atom
ΔE_f (raw) = 0.173 eV per atom

***

Record 2
A plane-wave DFT calculation with PBE was carried out for a relaxed structure of Pr2Zn5Pt3. Values from VASP.

The structure in Quantum ESPRESSO input format:
```
&SYSTEM
  ibrav = 0, nat = 20, ntyp = 3
/
ATOMIC_SPECIES
Pr 140.91 Pr.upf
Zn 65.41 Zn.upf
Pt 195.08 Pt.upf
CELL_PARAMETERS angstrom
5.942 -6.488 0.000
5.942 6.488 0.000
-2.723 0.000 4.999
ATOMIC_POSITIONS crystal
Pr 0.076 0.361 0.219
Pr 0.361 0.076 0.719
Pr 0.639 0.924 0.281
Pr 0.924 0.639 0.781
Zn 0.000 0.000 0.250
Zn 0.000 0.000 0.750
Zn 0.241 0.414 0.828
Zn 0.299 0.701 0.750
Zn 0.300 0.700 0.250
Zn 0.414 0.241 0.328
Zn 0.586 0.759 0.672
Zn 0.700 0.300 0.750
Zn 0.701 0.299 0.250
Zn 0.759 0.586 0.172
Pt 0.053 0.748 0.400
Pt 0.252 0.947 0.100
Pt 0.500 0.500 0.250
Pt 0.500 0.500 0.750
Pt 0.748 0.053 0.900
Pt 0.947 0.252 0.600
```

Properties
Total magnetization = 0.00 μB/cell
Raw total energy = -4.0939 eV/atom
DFT formation energy = -689 meV per atom
Excess energy over the best structure of this formula in the dataset = 0 meV/atom

***

Record 3
A plane-wave DFT calculation with PBE was carried out for a relaxed structure of BaTmRu2O8. Values from VASP.

The structure in Quantum ESPRESSO input format:
```
&SYSTEM
  ibrav = 0, nat = 12, ntyp = 4
/
ATOMIC_SPECIES
Ba 137.33 Ba.upf
Tm 168.93 Tm.upf
Ru 101.07 Ru.upf
O 16.00 O.upf
CELL_PARAMETERS angstrom
5.876 0.000 0.000
-2.938 5.089 0.000
0.000 0.000 7.577
ATOMIC_POSITIONS crystal
Ba 0.000 0.000 0.000
Tm 0.000 0.000 0.500
Ru 0.333 0.667 0.765
Ru 0.667 0.333 0.235
O 0.160 0.325 0.692
O 0.165 0.840 0.692
O 0.325 0.165 0.308
O 0.333 0.667 0.001
O 0.667 0.333 0.999
O 0.675 0.835 0.692
O 0.835 0.160 0.308
O 0.840 0.675 0.308
```

Properties
Total magnetization = 3.02 μB/cell
Raw total energy = -7.0736 eV/atom
ΔE_f (raw) = -1.689 eV per atom

***

Record 4
A plane-wave DFT calculation with PBE was carried out for a relaxed structure of BaInAs. Values from VASP.

The structure in Quantum ESPRESSO input format:
```
&SYSTEM
  ibrav = 0, nat = 3, ntyp = 3
/
ATOMIC_SPECIES
Ba 137.33 Ba.upf
In 114.82 In.upf
As 74.92 As.upf
CELL_PARAMETERS angstrom
0.000 3.832 3.832
3.832 0.000 3.832
3.832 3.832 0.000
ATOMIC_POSITIONS crystal
Ba 0.000 0.000 0.000
In 0.500 0.500 0.500
As 0.750 0.750 0.750
```

Properties
Total magnetization = 0.00 μB/cell
Raw total energy = -3.5746 eV/atom
DFT formation energy = -471 meV per atom